Compound: BeN
Source: Alexandria
Functional: GGA-PBE
Structure: optimized geometry

a b c (Å): 7.5949 7.5949 2.9008
angles (deg): 90.00 90.00 90.00
Last column: nearest neighbours and their distance in Å.
Element x y z (fractional)
N  0.5722  0.0464  0.0000  1 N 1.30
N  0.6558  0.7403  0.5000  4 Be 1.58-1.68
N  0.9536  0.5722  0.0000  1 N 1.30
N  0.4278  0.9536  0.0000  1 N 1.30
N  0.2597  0.6558  0.5000  4 Be 1.58-1.68
N  0.0464  0.4278  0.0000  1 N 1.30
N  0.3442  0.2597  0.5000  4 Be 1.58-1.68
N  0.7403  0.3442  0.5000  4 Be 1.58-1.68
Be  0.2326  0.4357  0.5000  2 N 1.58-1.68
Be  0.4357  0.7674  0.5000  2 N 1.58-1.68
Be  0.6601  0.8316  0.0000  3 N 1.61-1.76
Be  0.3399  0.1684  0.0000  3 N 1.61-1.76
Be  0.1684  0.6601  0.0000  3 N 1.61-1.76
Be  0.7674  0.5643  0.5000  2 N 1.58-1.68
Be  0.5643  0.2326  0.5000  2 N 1.58-1.68
Be  0.8316  0.3399  0.0000  3 N 1.61-1.76

Computed properties:
* SG: P4/m, No. 83
* energy above the lowest structure with this stoichiometry: 148 meV per atom
* E: -6.44 eV/atom

=====

Compound: BeN
Source: Alexandria
Functional: GGA-PBE
Structure: optimized geometry

a b c (Å): 2.8725 2.9475 4.0990
angles (deg): 90.00 90.00 120.87
Last column: nearest neighbours and their distance in Å.
Element x y z (fractional)
N  0.1297  0.0648  0.7500  3 Be 1.65-1.68
N  0.8703  0.9352  0.2500  3 Be 1.65-1.68
Be  0.5398  0.2699  0.2500  3 N 1.65-1.68
Be  0.4602  0.7301  0.7500  3 N 1.65-1.68

Computed properties:
* SG: Cmcm, No. 63
* energy above the lowest structure with this stoichiometry: 342 meV per atom
* E: -6.25 eV/atom

=====

Compound: BeN
Source: Alexandria
Functional: GGA-PBE
Structure: optimized geometry

a b c (Å): 4.9236 9.4406 6.3048
angles (deg): 90.00 90.00 90.00
Last column: nearest neighbours and their distance in Å.
Element x y z (fractional)
Be  0.7500  0.2500  0.0738  4 N 1.67-1.73
Be  0.7500  0.2500  0.4262  4 N 1.67-1.73
Be  0.5000  0.5000  0.8238  4 N 1.67-1.73
Be  0.5000  0.0000  0.3239  4 N 1.67-1.73
Be  0.5000  0.0000  0.6762  4 N 1.67-1.73
Be  0.5000  0.5000  0.1762  4 N 1.67-1.73
Be  0.0000  0.5000  0.3239  4 N 1.67-1.73
Be  0.7500  0.7500  0.9262  4 N 1.67-1.73
Be  0.2500  0.7500  0.0738  4 N 1.67-1.73
Be  0.2500  0.7500  0.4262  4 N 1.67-1.73
Be  0.0000  0.0000  0.1762  4 N 1.67-1.73
Be  0.0000  0.5000  0.6762  4 N 1.67-1.73
Be  0.2500  0.2500  0.5738  4 N 1.67-1.73
Be  0.7500  0.7500  0.5738  4 N 1.67-1.73
Be  0.0000  0.0000  0.8238  4 N 1.67-1.73
Be  0.2500  0.2500  0.9262  4 N 1.67-1.73
N  0.5000  0.1406  0.5000  4 Be 1.67-1.73
N  0.2500  0.1094  0.7500  4 Be 1.67-1.73
N  0.7500  0.8906  0.7500  4 Be 1.67-1.73
N  0.5000  0.8594  0.5000  4 Be 1.67-1.73
N  0.2500  0.8906  0.2500  4 Be 1.67-1.73
N  0.2500  0.6094  0.2500  4 Be 1.67-1.73
N  0.5000  0.6406  0.0000  4 Be 1.67-1.73
N  0.2500  0.3906  0.7500  4 Be 1.67-1.73
N  0.0000  0.3594  0.5000  4 Be 1.67-1.73
N  0.5000  0.3594  0.0000  4 Be 1.67-1.73
N  0.0000  0.8594  0.0000  4 Be 1.67-1.73
N  0.0000  0.1406  0.0000  4 Be 1.67-1.73
N  0.7500  0.6094  0.7500  4 Be 1.67-1.73
N  0.7500  0.1094  0.2500  4 Be 1.67-1.73
N  0.0000  0.6406  0.5000  4 Be 1.67-1.73
N  0.7500  0.3906  0.2500  4 Be 1.67-1.73

Computed properties:
* SG: Fddd, No. 70
* energy above the lowest structure with this stoichiometry: 419 meV per atom
* E: -6.17 eV/atom